Entry 1:
Below is a geometry-optimized SrBAsBr2 structure, with properties calculated at the PBE level.

abc: 5.8746 5.8746 6.2987
angles: 90.00 90.00 90.00
Last column: nearest neighbours and their distance in Å.
Positions (direct):
Sr 0.0000 0.0000 0.0000  4 Br 2.94, 2 As 3.15
B 0.5000 0.5000 0.5000  4 As 4.15, 8 Br 4.31
Br 0.5000 0.0000 0.0000  2 Sr 2.94
As 0.0000 0.0000 0.5000  2 Sr 3.15
Br 0.0000 0.5000 0.0000  2 Sr 2.94

## Properties
Space-group type: P4/mmm (123)
Polymorph energy (0 for the lowest one) (meV per atom): 752

***

Entry 2:
Below is a geometry-optimized Ta2BAsBr structure, with properties calculated at the PBE level.

abc: 4.7363 5.0025 4.7363
angles: 90.00 90.00 90.00
Last column: nearest neighbours and their distance in Å.
Positions (direct):
B 0.5000 0.5000 0.5000  4 As 3.35, 8 Ta 3.44
Ta 0.5000 0.0000 0.0000  2 Br 2.37
Br 0.0000 0.0000 0.0000  4 Ta 2.37, 2 As 2.50
Ta 0.0000 0.0000 0.5000  2 Br 2.37
As 0.0000 0.5000 0.0000  2 Br 2.50

## Properties
Space-group type: P4/mmm (123)
E_tot (eV for the cell shown): -24.24

***

Entry 3:
Below is a geometry-optimized BTeAs2Br structure, with properties calculated at the PBE level.

abc: 5.4076 5.4076 5.6459
angles: 90.00 90.00 90.00
Last column: nearest neighbours and their distance in Å.
Positions (direct):
Br 0.0000 0.0000 0.5000  2 Te 2.82
As 0.0000 0.5000 0.0000  2 Te 2.70
As 0.5000 0.0000 0.0000  2 Te 2.70
Te 0.0000 0.0000 0.0000  4 As 2.70, 2 Br 2.82
B 0.5000 0.5000 0.5000  4 Br 3.82, 8 As 3.91

## Properties
Space-group type: P4/mmm (123)
Polymorph energy (0 for the lowest one) (meV per atom): 913

***

Entry 4:
Below is a geometry-optimized BTeAsBr2 structure, with properties calculated at the PBE level.

abc: 4.5765 4.5765 5.0319
angles: 90.00 90.00 90.00
Last column: nearest neighbours and their distance in Å.
Positions (direct):
Te 0.5000 0.5000 0.5000  4 As 3.24, 8 Br 3.40
As 0.0000 0.0000 0.5000  2 B 2.52
B 0.0000 0.0000 0.0000  4 Br 2.29, 2 As 2.52
Br 0.0000 0.5000 0.0000  2 B 2.29
Br 0.5000 0.0000 0.0000  2 B 2.29

## Properties
Space-group type: P4/mmm (123)
Polymorph energy (0 for the lowest one) (meV per atom): 0

***

Entry 5:
Below is a geometry-optimized BTeAs2Br structure, with properties calculated at the PBE level.

abc: 4.7378 4.7378 4.4203
angles: 90.00 90.00 90.00
Last column: nearest neighbours and their distance in Å.
Positions (direct):
B 0.0000 0.0000 0.0000  2 Br 2.21, 4 As 2.37
Te 0.5000 0.5000 0.5000  8 As 3.24, 4 Br 3.35
As 0.5000 0.0000 0.0000  2 B 2.37
Br 0.0000 0.0000 0.5000  2 B 2.21
As 0.0000 0.5000 0.0000  2 B 2.37

## Properties
Space-group type: P4/mmm (123)
Polymorph energy (0 for the lowest one) (meV per atom): 0

***

Entry 6:
Below is a geometry-optimized BTeAsBr2 structure, with properties calculated at the PBE level.

abc: 5.6598 5.6598 5.3703
angles: 90.00 90.00 90.00
Last column: nearest neighbours and their distance in Å.
Positions (direct):
Te 0.0000 0.0000 0.0000  2 As 2.69, 4 Br 2.83
As 0.0000 0.0000 0.5000  2 Te 2.69
Br 0.0000 0.5000 0.0000  2 Te 2.83
B 0.5000 0.5000 0.5000  8 Br 3.90, 4 As 4.00
Br 0.5000 0.0000 0.0000  2 Te 2.83

## Properties
Space-group type: P4/mmm (123)
Polymorph energy (0 for the lowest one) (meV per atom): 601

***

Entry 7:
Below is a geometry-optimized TlBAs2Br structure, with properties calculated at the PBE level.

abc: 4.3341 4.3341 8.0851
angles: 90.00 90.00 90.00
Last column: nearest neighbours and their distance in Å.
Positions (direct):
As 0.0000 0.5000 0.0000  2 B 2.17
Br 0.0000 0.0000 0.5000  4 Tl 3.06
Tl 0.5000 0.5000 0.5000  4 Br 3.06
B 0.0000 0.0000 0.0000  4 As 2.17
As 0.5000 0.0000 0.0000  2 B 2.17

## Properties
Space-group type: P4/mmm (123)
Polymorph energy (0 for the lowest one) (meV per atom): 0

***

Entry 8:
Below is a geometry-optimized TlBAs2Br structure, with properties calculated at the PBE level.

abc: 5.3608 5.3608 5.8614
angles: 90.00 90.00 90.00
Last column: nearest neighbours and their distance in Å.
Positions (direct):
B 0.5000 0.5000 0.5000  4 Br 3.79, 8 As 3.97
Br 0.0000 0.0000 0.5000  2 Tl 2.93
As 0.0000 0.5000 0.0000  2 Tl 2.68
Tl 0.0000 0.0000 0.0000  4 As 2.68, 2 Br 2.93
As 0.5000 0.0000 0.0000  2 Tl 2.68

## Properties
Space-group type: P4/mmm (123)
Polymorph energy (0 for the lowest one) (meV per atom): 1153

***

Entry 9:
Below is a geometry-optimized VBAsBr2 structure, with properties calculated at the PBE level.

abc: 5.0819 5.0819 4.8557
angles: 90.00 90.00 90.00
Last column: nearest neighbours and their distance in Å.
Positions (direct):
Br 0.0000 0.5000 0.0000  2 V 2.54
B 0.5000 0.5000 0.5000  8 Br 3.51, 4 As 3.59
As 0.0000 0.0000 0.5000  2 V 2.43
V 0.0000 0.0000 0.0000  2 As 2.43, 4 Br 2.54
Br 0.5000 0.0000 0.0000  2 V 2.54

## Properties
Space-group type: P4/mmm (123)
Polymorph energy (0 for the lowest one) (meV per atom): 0

***

Entry 10:
Below is a geometry-optimized VBAsBr2 structure, with properties calculated at the PBE level.

abc: 4.5180 4.5180 4.6287
angles: 90.00 90.00 90.00
Last column: nearest neighbours and their distance in Å.
Positions (direct):
B 0.0000 0.0000 0.0000  4 Br 2.26, 2 As 2.31
As 0.0000 0.0000 0.5000  2 B 2.31
V 0.5000 0.5000 0.5000  4 As 3.19, 8 Br 3.23
Br 0.0000 0.5000 0.0000  2 B 2.26
Br 0.5000 0.0000 0.0000  2 B 2.26

## Properties
Space-group type: P4/mmm (123)
Polymorph energy (0 for the lowest one) (meV per atom): 215

***

Entry 11:
Below is a geometry-optimized BAsWBr2 structure, with properties calculated at the PBE level.

abc: 4.4763 4.4763 4.6878
angles: 90.00 90.00 90.00
Last column: nearest neighbours and their distance in Å.
Positions (direct):
B 0.0000 0.0000 0.0000  4 Br 2.24, 2 As 2.34
W 0.5000 0.5000 0.5000  4 As 3.17, 8 Br 3.24
Br 0.0000 0.5000 0.0000  2 B 2.24
Br 0.5000 0.0000 0.0000  2 B 2.24
As 0.0000 0.0000 0.5000  2 B 2.34

## Properties
Space-group type: P4/mmm (123)
Polymorph energy (0 for the lowest one) (meV per atom): 175

***

Entry 12:
Below is a geometry-optimized BAs2WBr structure, with properties calculated at the PBE level.

abc: 4.3159 4.3159 4.4724
angles: 90.00 90.00 90.00
Last column: nearest neighbours and their distance in Å.
Positions (direct):
W 0.5000 0.5000 0.5000  4 Br 3.05, 8 As 3.11
As 0.5000 0.0000 0.0000  2 B 2.16
B 0.0000 0.0000 0.0000  4 As 2.16, 2 Br 2.24
As 0.0000 0.5000 0.0000  2 B 2.16
Br 0.0000 0.0000 0.5000  2 B 2.24

## Properties
Space-group type: P4/mmm (123)
Polymorph energy (0 for the lowest one) (meV per atom): 53

***

Entry 13:
Below is a geometry-optimized BAs2WBr structure, with properties calculated at the PBE level.

abc: 4.8449 4.8449 5.3344
angles: 90.00 90.00 90.00
Last column: nearest neighbours and their distance in Å.
Positions (direct):
Br 0.0000 0.0000 0.5000  2 W 2.67
W 0.0000 0.0000 0.0000  4 As 2.42, 2 Br 2.67
B 0.5000 0.5000 0.5000  4 Br 3.43, 8 As 3.60
As 0.0000 0.5000 0.0000  2 W 2.42
As 0.5000 0.0000 0.0000  2 W 2.42

## Properties
Space-group type: P4/mmm (123)
Polymorph energy (0 for the lowest one) (meV per atom): 0

***

Entry 14:
Below is a geometry-optimized BAsWBr2 structure, with properties calculated at the PBE level.

abc: 5.1801 5.1801 4.8842
angles: 90.00 90.00 90.00
Last column: nearest neighbours and their distance in Å.
Positions (direct):
W 0.0000 0.0000 0.0000  2 As 2.44, 4 Br 2.59
B 0.5000 0.5000 0.5000  8 Br 3.56, 4 As 3.66
Br 0.5000 0.0000 0.0000  2 W 2.59
Br 0.0000 0.5000 0.0000  2 W 2.59
As 0.0000 0.0000 0.5000  2 W 2.44

## Properties
Space-group type: P4/mmm (123)
Polymorph energy (0 for the lowest one) (meV per atom): 0

***

Entry 15:
Below is a geometry-optimized YB2AsBr structure, with properties calculated at the PBE level.

abc: 4.1637 5.7197 4.1637
angles: 90.00 90.00 90.00
Last column: nearest neighbours and their distance in Å.
Positions (direct):
As 0.0000 0.0000 0.0000  4 B 2.08
Y 0.0000 0.5000 0.0000  2 As 2.86, 4 Br 2.94
B 0.5000 0.0000 0.0000  2 As 2.08
Br 0.5000 0.5000 0.5000  4 Y 2.94
B 0.0000 0.0000 0.5000  2 As 2.08

## Properties
Space-group type: P4/mmm (123)
E_tot (eV for the cell shown): -22.75

***

no.,size of the total moment (Bohr magnetons per cell)
1,2.00
2,0.00
3,1.17
4,0.00
5,0.00
6,0.00
7,0.00
8,1.40
9,1.22
10,0.18
11,2.88
12,0.00
13,0.13
14,1.23
15,0.00